# AlGaRe

A geometry-optimized AlGaRe structure (GGA-PBE, Alexandria via LeMat-Bulk).

Geometry as POSCAR:
```
AlGaRe
1.0
2.144 1.238 6.309
-2.144 1.238 6.309
0.000 -2.476 6.309
Al Ga Re
2 2 2
Cartesian
0.000 0.000 2.520
0.000 0.000 16.407
0.000 0.000 7.753
0.000 0.000 11.174
0.000 0.000 5.157
0.000 0.000 13.770
```

## Properties
ΔE to the lowest computed polymorph: 144 meV/atom
size of the total moment: 0.00 μB per formula unit
formation enthalpy at 0 K: 0.20 eV per atom
space group: R-3m, No. 166